{
  "formula": "Zr2AlCd",
  "functional": "PBE",
  "state": "relaxed",
  "lattice": [[5.201, 0.000, 0.000], [0.000, 5.201, 0.000], [0.000, 0.000, 3.061]],
  "species": ["Al", "Zr", "Zr", "Cd"],
  "frac_coords": [[0.500, 0.000, 0.500], [0.000, 0.000, 0.000], [0.500, 0.500, 0.000], [0.000, 0.500, 0.500]],
  "crystal_system": "tetragonal",
  "e_tot_ev_per_atom": -5.6413,
  "e_form_mev_per_atom": -203
}

---

{
  "formula": "Zr2AlCd",
  "functional": "PBE",
  "state": "relaxed",
  "lattice": [[3.078, 0.000, 0.000], [0.000, 3.078, 0.000], [0.000, 0.000, 8.863]],
  "species": ["Al", "Zr", "Zr", "Cd"],
  "frac_coords": [[0.000, 0.000, 0.500], [0.000, 0.000, 0.000], [0.500, 0.500, 0.267], [0.500, 0.500, 0.734]],
  "crystal_system": "tetragonal",
  "e_tot_ev_per_atom": -5.5719,
  "e_form_mev_per_atom": -133
}